a:
BRhPb3, relaxed, DFT PBE; symmetry = Pm-3m; crystal system = cubic
1.0
5.259 0.000 0.000
0.000 5.259 0.000
0.000 0.000 5.259
Pb B Rh
3 1 1
direct
0.000 0.500 0.000
0.500 0.000 0.000
0.000 0.000 0.500
0.500 0.500 0.500
0.000 0.000 0.000


b:
BRhPb3, relaxed, DFT PBE; symmetry = Pm-3m; crystal system = cubic
1.0
-0.067 3.620 3.314
-2.785 -2.758 2.956
4.042 -1.840 2.092
Pb Rh B
3 1 1
direct
0.000 0.000 0.500
0.000 0.500 0.000
0.500 0.000 0.000
0.500 0.500 0.500
0.000 0.000 0.000


Most favorable structure: b. The second most favorable one is 82 meV per atom above it.